No. 1
Ho4Cd5In2 after structural relaxation, computed with PBE.

```
data_Ho4Cd5In2
_symmetry_space_group_name_H-M 'P 1 2/m 1'
_symmetry_Int_Tables_number 10
_cell_length_a 7.931
_cell_length_b 3.503
_cell_length_c 10.179
_cell_angle_alpha 90.00
_cell_angle_beta 95.68
_cell_angle_gamma 90.00
loop_
_symmetry_equiv_pos_as_xyz
'x,y,z'
'-x,-y,-z'
'-x,y,-z'
'x,-y,z'
loop_
_atom_site_label
_atom_site_type_symbol
_atom_site_fract_x
_atom_site_fract_y
_atom_site_fract_z
_atom_site_occupancy
Ho1 Ho 0.170 0.000 0.391 1
Ho2 Ho 0.279 0.000 0.938 1
Cd1 Cd 0.187 0.500 0.660 1
Cd2 Cd 0.443 0.500 0.205 1
Cd3 Cd 0.500 0.500 0.500 1
In1 In 0.066 0.500 0.137 1
```

## Properties
- ΔH_f (0 K): -0.2823 eV per atom
- Density: 8.56 g/cm³
- Calculated total energy: -2.861 eV/atom

=====

No. 2
Ho6CdIn after structural relaxation, computed with PBE.

```
data_Ho6CdIn
_symmetry_space_group_name_H-M 'P 4/m m m'
_symmetry_Int_Tables_number 123
_symmetry_space_group_name_Hall '-P 4 2'
_cell_length_a 4.827
_cell_length_b 4.827
_cell_length_c 9.644
_cell_angle_alpha 90.00
_cell_angle_beta 90.00
_cell_angle_gamma 90.00
loop_
_atom_site_label
_atom_site_type_symbol
_atom_site_fract_x
_atom_site_fract_y
_atom_site_fract_z
_atom_site_occupancy
Ho1 Ho 0.000 0.000 0.000 1
Ho2 Ho 0.000 0.000 0.500 1
Ho3 Ho 0.000 0.500 0.250 1
Cd1 Cd 0.500 0.500 0.000 1
In1 In 0.500 0.500 0.500 1
```

## Properties
- ΔH_f (0 K): -0.1744 eV per atom
- Density: 8.99 g/cm³
- Calculated total energy: -4.064 eV/atom
- Energy above the most stable polymorph in this dataset: 0 meV per atom

=====

No. 3
Ho3CdIn2 after structural relaxation, computed with PBE.

```
data_Ho3CdIn2
_symmetry_space_group_name_H-M 'P -3 m 1'
_symmetry_Int_Tables_number 164
_symmetry_space_group_name_Hall '-P 3 2"'
_cell_length_a 5.2929
_cell_length_b 5.2929
_cell_length_c 12.9180
_cell_angle_alpha 90.00
_cell_angle_beta 90.00
_cell_angle_gamma 120.00
loop_
_atom_site_label
_atom_site_type_symbol
_atom_site_fract_x
_atom_site_fract_y
_atom_site_fract_z
_atom_site_occupancy
Ho1 Ho 0.0000 0.0000 0.2495 1
Ho2 Ho 0.3333 0.6667 0.4170 1
Ho3 Ho 0.3333 0.6667 0.9178 1
Cd1 Cd 0.3333 0.6667 0.1682 1
In1 In 0.0000 0.0000 0.0000 1
In2 In 0.0000 0.0000 0.5000 1
In3 In 0.3333 0.6667 0.6710 1
```

## Properties
- ΔH_f (0 K): -0.4211 eV per atom
- Density: 8.87 g/cm³
- Calculated total energy: -3.775 eV/atom
- Energy above the most stable polymorph in this dataset: 0 meV per atom

=====

No. 4
Ho5CdIn6 after structural relaxation, computed with PBE.

```
data_Ho5CdIn6
_symmetry_space_group_name_H-M 'I m m m'
_symmetry_Int_Tables_number 71
_symmetry_space_group_name_Hall '-I 2 2'
_cell_length_a 4.781
_cell_length_b 8.897
_cell_length_c 14.586
_cell_angle_alpha 90.00
_cell_angle_beta 90.00
_cell_angle_gamma 90.00
loop_
_atom_site_label
_atom_site_type_symbol
_atom_site_fract_x
_atom_site_fract_y
_atom_site_fract_z
_atom_site_occupancy
Ho1 Ho 0.000 0.000 0.000 1
Ho2 Ho 0.000 0.000 0.351 1
Ho3 Ho 0.000 0.500 0.329 1
Cd1 Cd 0.000 0.500 0.000 1
In1 In 0.000 0.246 0.171 1
In2 In 0.000 0.258 0.500 1
```

## Properties
- ΔH_f (0 K): -0.3999 eV per atom
- Density: 8.70 g/cm³
- Calculated total energy: -3.753 eV/atom

=====

No. 5
Ho5Cd2In2 after structural relaxation, computed with PBE.

```
data_Ho5Cd2In2
_symmetry_space_group_name_H-M 'C m c e'
_symmetry_Int_Tables_number 64
_symmetry_space_group_name_Hall '-C 2ac 2'
_cell_length_a 16.317
_cell_length_b 8.590
_cell_length_c 7.255
_cell_angle_alpha 90.00
_cell_angle_beta 90.00
_cell_angle_gamma 90.00
loop_
_atom_site_label
_atom_site_type_symbol
_atom_site_fract_x
_atom_site_fract_y
_atom_site_fract_z
_atom_site_occupancy
Ho1 Ho 0.000 0.000 0.000 1
Ho2 Ho 0.142 0.189 0.337 1
Cd1 Cd 0.000 0.138 0.614 1
In1 In 0.210 0.000 0.000 1
```

## Properties
- ΔH_f (0 K): -0.2607 eV per atom
- Density: 8.36 g/cm³
- Calculated total energy: -3.616 eV/atom

=====

No. 6
Ho3Cd2In2 after structural relaxation, computed with PBE.

```
data_Ho3Cd2In2
_symmetry_space_group_name_H-M 'C m m m'
_symmetry_Int_Tables_number 65
_symmetry_space_group_name_Hall '-C 2 2'
_cell_length_a 4.756
_cell_length_b 22.116
_cell_length_c 3.368
_cell_angle_alpha 90.00
_cell_angle_beta 90.00
_cell_angle_gamma 90.00
loop_
_atom_site_label
_atom_site_type_symbol
_atom_site_fract_x
_atom_site_fract_y
_atom_site_fract_z
_atom_site_occupancy
Ho1 Ho 0.000 0.000 0.000 1
Ho2 Ho 0.000 0.154 0.000 1
Cd1 Cd 0.000 0.285 0.500 1
In1 In 0.000 0.423 0.500 1
```

## Properties
- ΔH_f (0 K): -0.3639 eV per atom
- Density: 8.90 g/cm³
- Calculated total energy: -3.370 eV/atom

=====

No. 7
HoCd6In2 after structural relaxation, computed with PBE.

```
data_HoCd6In2
_symmetry_space_group_name_H-M 'C 1 2/m 1'
_symmetry_Int_Tables_number 12
_cell_length_a 6.602
_cell_length_b 14.975
_cell_length_c 4.794
_cell_angle_alpha 90.00
_cell_angle_beta 112.27
_cell_angle_gamma 90.00
loop_
_symmetry_equiv_pos_as_xyz
'x,y,z'
'-x,-y,-z'
'-x,y,-z'
'x,-y,z'
'x+1/2,y+1/2,z'
'-x+1/2,-y+1/2,-z'
'-x+1/2,y+1/2,-z'
'x+1/2,-y+1/2,z'
loop_
_atom_site_label
_atom_site_type_symbol
_atom_site_fract_x
_atom_site_fract_y
_atom_site_fract_z
_atom_site_occupancy
Ho1 Ho 0.000 0.000 0.000 1
Cd1 Cd 0.137 0.500 0.318 1
Cd2 Cd 0.171 0.333 0.820 1
In1 In 0.000 0.152 0.500 1
```

## Properties
- ΔH_f (0 K): -0.0982 eV per atom
- Density: 8.10 g/cm³
- Calculated total energy: -1.825 eV/atom

=====

No. 8
Ho3Cd3In after structural relaxation, computed with PBE.

```
data_Ho3Cd3In
_symmetry_space_group_name_H-M 'I m m 2'
_symmetry_Int_Tables_number 44
_cell_length_a 3.554
_cell_length_b 4.873
_cell_length_c 20.826
_cell_angle_alpha 90.00
_cell_angle_beta 90.00
_cell_angle_gamma 90.00
loop_
_symmetry_equiv_pos_as_xyz
'x,y,z'
'-x,-y,z'
'-x,y,z'
'x,-y,z'
'x+1/2,y+1/2,z+1/2'
'-x+1/2,-y+1/2,z+1/2'
'-x+1/2,y+1/2,z+1/2'
'x+1/2,-y+1/2,z+1/2'
loop_
_atom_site_label
_atom_site_type_symbol
_atom_site_fract_x
_atom_site_fract_y
_atom_site_fract_z
_atom_site_occupancy
Ho1 Ho 0.000 0.000 0.000 1
Ho2 Ho 0.000 0.000 0.403 1
Ho3 Ho 0.000 0.500 0.201 1
Cd1 Cd 0.000 0.000 0.557 1
Cd2 Cd 0.000 0.000 0.847 1
Cd3 Cd 0.000 0.500 0.631 1
In1 In 0.000 0.500 0.769 1
```

## Properties
- ΔH_f (0 K): -0.3100 eV per atom
- Density: 8.72 g/cm³
- Calculated total energy: -3.055 eV/atom

=====

No. 9
Ho5Cd3In after structural relaxation, computed with PBE.

```
data_Ho5Cd3In
_symmetry_space_group_name_H-M 'P 63/m c m'
_symmetry_Int_Tables_number 193
_symmetry_space_group_name_Hall '-P 6c 2'
_cell_length_a 9.2049
_cell_length_b 9.2049
_cell_length_c 6.6115
_cell_angle_alpha 90.00
_cell_angle_beta 90.00
_cell_angle_gamma 120.00
loop_
_atom_site_label
_atom_site_type_symbol
_atom_site_fract_x
_atom_site_fract_y
_atom_site_fract_z
_atom_site_occupancy
Ho1 Ho 0.0000 0.3008 0.2500 1
Ho2 Ho 0.3333 0.6667 0.0000 1
Cd1 Cd 0.0000 0.3661 0.7500 1
In1 In 0.0000 0.0000 0.0000 1
```

## Properties
- ΔH_f (0 K): -0.2623 eV per atom
- Density: 8.74 g/cm³
- Calculated total energy: -3.415 eV/atom

=====

No. 10
Ho6CdIn after structural relaxation, computed with PBE.

```
data_Ho6CdIn
_symmetry_space_group_name_H-M 'C 1 2/m 1'
_symmetry_Int_Tables_number 12
_cell_length_a 6.870
_cell_length_b 12.033
_cell_length_c 6.950
_cell_angle_alpha 90.00
_cell_angle_beta 118.86
_cell_angle_gamma 90.00
loop_
_symmetry_equiv_pos_as_xyz
'x,y,z'
'-x,-y,-z'
'-x,y,-z'
'x,-y,z'
'x+1/2,y+1/2,z'
'-x+1/2,-y+1/2,-z'
'-x+1/2,y+1/2,-z'
'x+1/2,-y+1/2,z'
loop_
_atom_site_label
_atom_site_type_symbol
_atom_site_fract_x
_atom_site_fract_y
_atom_site_fract_z
_atom_site_occupancy
Ho1 Ho 0.242 0.210 0.251 1
Ho2 Ho 0.243 0.000 0.752 1
Cd1 Cd 0.000 0.000 0.000 1
In1 In 0.000 0.500 0.500 1
```

## Properties
- ΔH_f (0 K): 0.1378 eV per atom
- Density: 8.03 g/cm³
- Calculated total energy: -3.752 eV/atom
- Energy above the most stable polymorph in this dataset: 312 meV per atom

=====

No. 11
Ho6CdIn5 after structural relaxation, computed with PBE.

```
data_Ho6CdIn5
_symmetry_space_group_name_H-M 'C 1 2/m 1'
_symmetry_Int_Tables_number 12
_cell_length_a 6.350
_cell_length_b 11.050
_cell_length_c 9.884
_cell_angle_alpha 90.00
_cell_angle_beta 102.59
_cell_angle_gamma 90.00
loop_
_symmetry_equiv_pos_as_xyz
'x,y,z'
'-x,-y,-z'
'-x,y,-z'
'x,-y,z'
'x+1/2,y+1/2,z'
'-x+1/2,-y+1/2,-z'
'-x+1/2,y+1/2,-z'
'x+1/2,-y+1/2,z'
loop_
_atom_site_label
_atom_site_type_symbol
_atom_site_fract_x
_atom_site_fract_y
_atom_site_fract_z
_atom_site_occupancy
Ho1 Ho 0.249 0.000 0.249 1
Ho2 Ho 0.249 0.167 0.749 1
Cd1 Cd 0.000 0.000 0.500 1
In1 In 0.000 0.168 0.000 1
In2 In 0.000 0.335 0.500 1
In3 In 0.000 0.500 0.000 1
```

## Properties
- ΔH_f (0 K): -0.2957 eV per atom
- Density: 8.22 g/cm³
- Calculated total energy: -3.802 eV/atom
- Energy above the most stable polymorph in this dataset: 145 meV per atom

=====

No. 12
Ho12CdIn6 after structural relaxation, computed with PBE.

```
data_Ho12CdIn6
_symmetry_space_group_name_H-M 'R -3'
_symmetry_Int_Tables_number 148
_symmetry_space_group_name_Hall '-R 3'
_cell_length_a 13.6816
_cell_length_b 13.6816
_cell_length_c 12.0064
_cell_angle_alpha 90.00
_cell_angle_beta 90.00
_cell_angle_gamma 120.00
loop_
_atom_site_label
_atom_site_type_symbol
_atom_site_fract_x
_atom_site_fract_y
_atom_site_fract_z
_atom_site_occupancy
Ho1 Ho 0.0360 0.8253 0.3875 1
Ho2 Ho 0.0516 0.8340 0.8947 1
Cd1 Cd 0.0000 0.0000 0.0000 1
In1 In 0.0475 0.7849 0.6469 1
```

## Properties
- ΔH_f (0 K): 0.0282 eV per atom
- Density: 7.12 g/cm³
- Calculated total energy: -3.776 eV/atom

=====

Q: Look up the calculated total energy of the third one.
A: -3.775 eV/atom